Entry 1:
PBE Y2ZnAs, relaxed; offset from the most stable computed form = 0.0 meV per atom; SG = Amm2; magnetic moment = 0.000 μB per cell
1.0
-0.230 3.724 4.476
-3.440 4.344 1.803
-2.235 -2.628 2.073
Y As Zn
2 1 1
Direct
0.016 0.016 0.125
0.733 0.733 0.625
0.293 0.293 0.125
0.458 0.458 0.625

***

Entry 2:
PBE Y2ZnAs2, relaxed; E = -55.7 eV/cell; SG = P4/mbm; magnetic moment = 0.000 μB per cell
1.0
-2.707 3.694 6.463
5.822 -3.235 4.287
2.200 2.948 -0.764
Y As Zn
4 4 2
Direct
0.350 0.850 0.000
0.850 0.650 0.000
0.650 0.150 0.000
0.150 0.350 0.000
0.156 0.656 0.500
0.656 0.844 0.500
0.844 0.344 0.500
0.344 0.156 0.500
0.000 0.000 0.000
0.500 0.500 0.000